*i*
VASP calculation (PBE) on a geometry-optimized SrW structure.

Results
theoretical density	4.499	g/cm3
space group	No. 216

Cell: 5.2132 5.2132 5.2132 Å, 60.00 60.00 60.00°
With the nearest neighbours (Å) after each atom.
Fractional coordinates of all 2 atoms:
Sr 0.0000 0.0000 0.0000  4 W 3.19
W 0.7500 0.7500 0.7500  4 Sr 3.19



*ii*
VASP calculation (PBE) on a geometry-optimized SrW structure.

Results
theoretical density	6.612	g/cm3
space group	No. 225

Cell: 4.5854 4.5854 4.5854 Å, 60.00 60.00 60.00°
With the nearest neighbours (Å) after each atom.
Fractional coordinates of all 2 atoms:
Sr 0.0000 0.0000 0.0000  6 W 3.24
W 0.5000 0.5000 0.5000  6 Sr 3.24



*iii*
VASP calculation (PBE) on a geometry-optimized SrW structure.

Results
theoretical density	9.955	g/cm3
space group	No. 187

Cell: 3.0421 3.0421 5.6500 Å, 90.00 90.00 120.00°
With the nearest neighbours (Å) after each atom.
Fractional coordinates of all 2 atoms:
Sr 0.0000 0.0000 0.0000  6 Sr 3.04, 6 W 3.33
W 0.6667 0.3333 0.5000  6 W 3.04, 6 Sr 3.33



The winner here is *iii*, beating the second structure by 1052 meV per atom.



*i*
VASP calculation (PBE) on a geometry-optimized Sr3Zn4 structure.

Results
theoretical density	4.298	g/cm3
space group	No. 176

Cell: 10.0339 10.0339 4.6480 Å, 90.00 90.00 120.00°
With the nearest neighbours (Å) after each atom.
Fractional coordinates of all 14 atoms:
Sr 0.0999 0.4162 0.2500  6 Zn 3.21-3.36
Sr 0.3162 0.9001 0.2500  6 Zn 3.21-3.36
Sr 0.4162 0.3162 0.7500  6 Zn 3.21-3.36
Sr 0.5838 0.6838 0.2500  6 Zn 3.21-3.36
Sr 0.6838 0.0999 0.7500  6 Zn 3.21-3.36
Sr 0.9001 0.5838 0.7500  6 Zn 3.21-3.36
Zn 0.0383 0.1712 0.7500  6 Zn 2.71-2.80
Zn 0.1329 0.9617 0.7500  6 Zn 2.71-2.80
Zn 0.1712 0.1329 0.2500  6 Zn 2.71-2.80
Zn 0.3333 0.6667 0.7500  6 Sr 3.36
Zn 0.6667 0.3333 0.2500  6 Sr 3.36
Zn 0.8288 0.8671 0.7500  6 Zn 2.71-2.80
Zn 0.8671 0.0383 0.2500  6 Zn 2.71-2.80
Zn 0.9617 0.8288 0.2500  6 Zn 2.71-2.80



*ii*
VASP calculation (PBE) on a geometry-optimized Sr3Zn4 structure.

Results
theoretical density	4.333	g/cm3
space group	No. 176

Cell: 9.2151 9.2151 5.4682 Å, 90.00 90.00 120.00°
With the nearest neighbours (Å) after each atom.
Fractional coordinates of all 14 atoms:
Sr 0.0660 0.7629 0.2500  4 Zn 3.01-3.27
Sr 0.2371 0.3031 0.2500  4 Zn 3.01-3.27
Sr 0.3031 0.0660 0.7500  4 Zn 3.01-3.27
Sr 0.6969 0.9340 0.2500  4 Zn 3.01-3.27
Sr 0.7629 0.6969 0.7500  4 Zn 3.01-3.27
Sr 0.9340 0.2371 0.7500  4 Zn 3.01-3.27
Zn 0.1555 0.6466 0.7500  2 Zn 2.69
Zn 0.3333 0.6667 0.2500  3 Sr 3.01, 6 Zn 3.15
Zn 0.3534 0.5089 0.7500  2 Zn 2.69
Zn 0.4911 0.8445 0.7500  2 Zn 2.69
Zn 0.5089 0.1555 0.2500  2 Zn 2.69
Zn 0.6466 0.4911 0.2500  2 Zn 2.69
Zn 0.6667 0.3333 0.7500  3 Sr 3.01, 6 Zn 3.15
Zn 0.8445 0.3534 0.2500  2 Zn 2.69



The winner here is *i*, beating the second structure by 146 meV per atom.



*i*
VASP calculation (PBE) on a geometry-optimized SrZr structure.

Results
theoretical density	4.332	g/cm3
space group	No. 187

Cell: 7.6809 7.6809 5.3677 Å, 90.00 90.00 120.00°
With the nearest neighbours (Å) after each atom.
Fractional coordinates of all 8 atoms:
Sr 0.0000 0.0000 0.0000  6 Sr 3.54, 6 Zr 3.88
Sr 0.3461 0.1731 0.5000  4 Sr 3.54-3.69, 6 Zr 3.67-3.84
Sr 0.8269 0.1731 0.5000  4 Sr 3.54-3.69, 6 Zr 3.67-3.84
Sr 0.8269 0.6539 0.5000  4 Sr 3.54-3.69, 6 Zr 3.67-3.84
Zr 0.0799 0.5400 0.0000  4 Zr 2.92-3.17
Zr 0.3333 0.6667 0.5000  6 Zr 3.17
Zr 0.4600 0.5400 0.0000  4 Zr 2.92-3.17
Zr 0.4600 0.9201 0.0000  4 Zr 2.92-3.17



*ii*
VASP calculation (PBE) on a geometry-optimized SrZr structure.

Results
theoretical density	4.662	g/cm3
space group	No. 62

Cell: 6.0421 5.6960 7.4036 Å, 90.00 90.00 90.00°
With the nearest neighbours (Å) after each atom.
Fractional coordinates of all 8 atoms:
Sr 0.0781 0.2500 0.1243  8 Zr 3.38-3.72, 4 Sr 3.52-3.55
Sr 0.4219 0.7500 0.6243  8 Zr 3.38-3.72, 4 Sr 3.52-3.55
Sr 0.5781 0.2500 0.3757  8 Zr 3.38-3.72, 4 Sr 3.52-3.55
Sr 0.9219 0.7500 0.8757  8 Zr 3.38-3.72, 4 Sr 3.52-3.55
Zr 0.0491 0.2500 0.6222  8 Sr 3.38-3.72, 4 Zr 3.43-3.56
Zr 0.4509 0.7500 0.1222  8 Sr 3.38-3.72, 4 Zr 3.43-3.56
Zr 0.5491 0.2500 0.8778  8 Sr 3.38-3.72, 4 Zr 3.43-3.56
Zr 0.9509 0.7500 0.3778  8 Sr 3.38-3.72, 4 Zr 3.43-3.56



The winner here is *i*, beating the second structure by 158 meV per atom.



*i*
VASP calculation (PBE) on a geometry-optimized SrZr structure.

Results
theoretical density	4.407	g/cm3
space group	No. 26

Cell: 5.4545 12.3935 5.9817 Å, 90.00 90.00 90.00°
With the nearest neighbours (Å) after each atom.
Fractional coordinates of all 12 atoms:
Sr 0.0000 0.0762 0.0000  9 Zr 3.29-3.45, 2 Sr 3.54
Sr 0.0000 0.3846 0.0970  3 Zr 3.37-3.73
Sr 0.0000 0.6154 0.5970  3 Zr 3.37-3.73
Sr 0.0000 0.9238 0.5000  9 Zr 3.29-3.45, 2 Sr 3.54
Sr 0.5000 0.3687 0.6377  4 Zr 3.44-3.62
Sr 0.5000 0.6313 0.1377  4 Zr 3.44-3.62
Zr 0.0000 0.2022 0.5151  4 Zr 3.26-3.30, 6 Sr 3.29-3.50
Zr 0.0000 0.7978 0.0151  4 Zr 3.26-3.30, 6 Sr 3.29-3.50
Zr 0.5000 0.0764 0.6592  4 Zr 3.03-3.26
Zr 0.5000 0.1856 0.2059  4 Zr 3.03-3.30, 2 Sr 3.29
Zr 0.5000 0.8144 0.7059  4 Zr 3.03-3.30, 2 Sr 3.29
Zr 0.5000 0.9236 0.1592  4 Zr 3.03-3.26



*ii*
VASP calculation (PBE) on a geometry-optimized SrZr structure.

Results
theoretical density	4.101	g/cm3
space group	No. 11

Cell: 8.9734 5.4347 9.1849 Å, 90.00 104.06 90.00°
With the nearest neighbours (Å) after each atom.
Fractional coordinates of all 12 atoms:
Sr 0.0837 0.2500 0.3006  5 Zr 3.50-3.90, 4 Sr 3.83-3.88
Sr 0.2326 0.2500 0.8037  1 Zr 3.27
Sr 0.2596 0.7500 0.1008  4 Zr 3.53-3.88, 4 Sr 3.82-3.83
Sr 0.7404 0.2500 0.8992  4 Zr 3.53-3.88, 4 Sr 3.82-3.83
Sr 0.7674 0.7500 0.1963  1 Zr 3.27
Sr 0.9163 0.7500 0.6994  5 Zr 3.50-3.90, 4 Sr 3.83-3.88
Zr 0.2495 0.7500 0.5204  2 Zr 2.70-3.01
Zr 0.4450 0.2500 0.5599  8 Zr 3.01-3.22, 1 Sr 3.27
Zr 0.4985 0.7500 0.7542  1 Zr 2.70
Zr 0.5015 0.2500 0.2458  1 Zr 2.70
Zr 0.5550 0.7500 0.4401  8 Zr 3.01-3.22, 1 Sr 3.27
Zr 0.7505 0.2500 0.4796  2 Zr 2.70-3.01



*iii*
VASP calculation (PBE) on a geometry-optimized SrZr structure.

Results
theoretical density	4.442	g/cm3
space group	No. 59

Cell: 5.4116 15.9593 6.1934 Å, 90.00 90.00 90.00°
With the nearest neighbours (Å) after each atom.
Fractional coordinates of all 16 atoms:
Sr 0.2500 0.0043 0.2039  6 Sr 3.62-3.94, 3 Zr 3.72-3.93
Sr 0.2500 0.1399 0.6730  6 Zr 3.46-3.66, 4 Sr 3.51-3.63
Sr 0.2500 0.3601 0.6730  6 Zr 3.46-3.66, 4 Sr 3.51-3.63
Sr 0.2500 0.4957 0.2039  6 Sr 3.62-3.94, 3 Zr 3.72-3.93
Sr 0.7500 0.5043 0.7961  6 Sr 3.62-3.94, 3 Zr 3.72-3.93
Sr 0.7500 0.6399 0.3270  6 Zr 3.46-3.66, 4 Sr 3.51-3.63
Sr 0.7500 0.8601 0.3270  6 Zr 3.46-3.66, 4 Sr 3.51-3.63
Sr 0.7500 0.9957 0.7961  6 Sr 3.62-3.94, 3 Zr 3.72-3.93
Zr 0.2500 0.2500 0.1545  6 Zr 3.18-3.21, 2 Sr 3.46
Zr 0.2500 0.6607 0.7043  4 Zr 2.85-3.18
Zr 0.2500 0.7500 0.1247  4 Zr 2.97-3.21
Zr 0.2500 0.8393 0.7043  4 Zr 2.85-3.18
Zr 0.7500 0.1607 0.2957  4 Zr 2.85-3.18
Zr 0.7500 0.2500 0.8753  4 Zr 2.97-3.21
Zr 0.7500 0.3393 0.2957  4 Zr 2.85-3.18
Zr 0.7500 0.7500 0.8455  6 Zr 3.18-3.21, 2 Sr 3.46



*iv*
VASP calculation (PBE) on a geometry-optimized SrZr structure.

Results
theoretical density	4.144	g/cm3
space group	No. 11

Cell: 8.1366 5.2574 10.0874 Å, 90.00 94.81 90.00°
With the nearest neighbours (Å) after each atom.
Fractional coordinates of all 12 atoms:
Sr 0.0685 0.2500 0.1867  4 Zr 3.39-3.72, 2 Sr 3.75
Sr 0.1477 0.2500 0.6269  3 Zr 3.49-3.86, 2 Sr 3.75
Sr 0.3722 0.7500 0.3866  3 Zr 3.54-3.61, 3 Sr 3.92-3.96
Sr 0.6278 0.2500 0.6134  3 Zr 3.54-3.61, 3 Sr 3.92-3.96
Sr 0.8523 0.7500 0.3731  3 Zr 3.49-3.86, 2 Sr 3.75
Sr 0.9315 0.7500 0.8133  4 Zr 3.39-3.72, 2 Sr 3.75
Zr 0.2643 0.7500 0.0392  4 Zr 2.90-3.01
Zr 0.3775 0.2500 0.9348  6 Zr 2.90-3.04
Zr 0.4431 0.7500 0.7964  4 Zr 2.95-3.04
Zr 0.5569 0.2500 0.2036  4 Zr 2.95-3.04
Zr 0.6225 0.7500 0.0652  6 Zr 2.90-3.04
Zr 0.7357 0.2500 0.9608  4 Zr 2.90-3.01



The winner here is *iv*, beating the second structure by 15 meV per atom.